[1]
Below is a geometry-optimized BC structure, with properties calculated at the PBE level.

Results
* DFT formation energy: 0.8 eV per formula unit
* energy: -7.536 eV per atom
* M_tot: 0.00 μB/f.u.

The structure in POSCAR format:
```
BC
1.0
2.5938 0.0000 0.0000
0.0000 4.7067 -0.2049
0.0000 -0.2737 6.8108
B C
6 6
Direct
0.5000 0.5328 0.2223
0.5000 0.2271 0.8989
0.0000 0.3252 0.6379
0.0000 0.2664 0.2183
0.0000 0.9219 0.2909
0.0000 0.0164 0.0140
0.5000 0.8146 0.3753
0.5000 0.5543 0.9839
0.0000 0.6734 0.6788
0.0000 0.6970 0.9121
0.5000 0.1508 0.6651
0.5000 0.8199 0.6025
```

[2]
Below is a geometry-optimized BC structure, with properties calculated at the PBE level.

Results
* DFT formation energy: 0.8 eV per formula unit
* energy: -7.540 eV per atom
* M_tot: 0.00 μB/f.u.

The structure in POSCAR format:
```
BC
1.0
4.7596 0.0120 -5.5523
0.0830 2.6030 -6.3278
-0.2596 0.0407 6.8377
B C
6 6
Direct
0.9931 0.3366 0.6565
0.5848 0.1670 0.4178
0.0909 0.2108 0.8801
0.9686 0.9744 0.9942
0.1679 0.7834 0.3844
0.9527 0.6468 0.3060
0.6460 0.2908 0.3552
0.6054 0.9488 0.6566
0.5252 0.8294 0.6959
0.5971 0.6081 0.9890
0.4820 0.4905 0.9915
0.1362 0.4635 0.6727
```

[3]
Below is a geometry-optimized B7C5 structure, with properties calculated at the PBE level.

Results
* DFT formation energy: 2.9 eV per formula unit
* energy: -7.493 eV per atom
* M_tot: 0.00 μB/f.u.

The structure in POSCAR format:
```
B7C5
1.0
4.6689 -0.0013 -0.7704
-2.5356 3.9204 -0.7704
0.0182 0.0334 4.7403
B C
7 5
Direct
0.2154 0.8821 0.6072
0.8907 0.5574 0.7626
0.4972 0.5074 0.5193
0.4212 0.6756 0.0127
0.8407 0.1639 0.5193
0.6121 0.2787 0.0179
0.0089 0.0879 0.0127
0.3896 0.3903 0.1618
0.2114 0.5585 0.6665
0.7237 0.0563 0.1618
0.5472 0.2139 0.6417
0.8918 0.8781 0.6665
```

[4]
Below is a geometry-optimized B7C5 structure, with properties calculated at the PBE level.

Results
* DFT formation energy: 3.5 eV per formula unit
* energy: -7.447 eV per atom
* M_tot: 0.00 μB/f.u.

The structure in POSCAR format:
```
B7C5
1.0
4.3926 -0.0003 -0.7178
-2.3848 3.6888 -0.7178
0.0827 0.1519 4.7860
B C
7 5
Direct
0.1826 0.8493 0.5371
0.9492 0.6158 0.1242
0.3952 0.4529 0.1646
0.3200 0.7409 0.9654
0.7862 0.0618 0.1646
0.5505 0.2171 0.9510
0.0742 0.9866 0.9654
0.5117 0.5188 0.5161
0.2126 0.5320 0.6230
0.8521 0.1783 0.5161
0.5506 0.2172 0.5992
0.8653 0.8792 0.6230
```

[5]
Below is a geometry-optimized BC structure, with properties calculated at the PBE level.

Results
* DFT formation energy: 0.6 eV per formula unit
* energy: -7.643 eV per atom
* M_tot: 0.00 μB/f.u.

The structure in POSCAR format:
```
BC
1.0
4.4563 0.0000 -0.0168
0.0000 2.7212 0.0000
-3.2124 0.0000 4.8968
C B
4 4
Direct
0.9108 0.0000 0.0044
0.9108 0.5000 0.5044
0.2795 0.0000 0.3243
0.2795 0.5000 0.8243
0.4951 0.0000 0.8959
0.4951 0.5000 0.3959
0.0123 0.0000 0.4249
0.0123 0.5000 0.9249
```

[6]
Below is a geometry-optimized B7C5 structure, with properties calculated at the PBE level.

Results
* DFT formation energy: 3.7 eV per formula unit
* energy: -7.434 eV per atom
* M_tot: 0.00 μB/f.u.

The structure in POSCAR format:
```
B7C5
1.0
2.7081 0.0000 0.0000
0.0000 4.4715 -0.0935
0.0000 -0.1450 7.1653
B C
7 5
Direct
0.0000 0.3858 0.0960
0.5000 0.8681 0.0105
0.5000 0.5031 0.5123
0.0000 0.2223 0.5508
0.0000 0.8730 0.4046
0.5000 0.4170 0.7698
0.0000 0.9013 0.6872
0.5000 0.5674 0.1352
0.0000 0.0585 0.9917
0.5000 0.7275 0.3340
0.0000 0.2408 0.8003
0.5000 0.7351 0.7076
```

[7]
Below is a geometry-optimized BC structure, with properties calculated at the PBE level.

Results
* DFT formation energy: 0.7 eV per formula unit
* energy: -7.589 eV per atom
* M_tot: 0.00 μB/f.u.

The structure in POSCAR format:
```
BC
1.0
-0.2061 0.5044 -2.4782
2.0257 -1.2379 -0.4204
-6.9933 -10.8883 -1.6349
B C
6 6
Direct
0.5000 0.0000 0.9354
0.5000 0.5000 0.4673
0.5000 0.0000 0.5711
0.0000 0.0000 0.6705
0.0000 0.5000 0.7761
0.5000 0.5000 0.1631
0.5000 0.5000 0.8494
0.5000 0.0000 0.2532
0.0000 0.0000 0.3197
0.0000 0.5000 0.3901
0.0000 0.0000 0.0195
0.0000 0.5000 0.0846
```

[8]
Below is a geometry-optimized BC structure, with properties calculated at the PBE level.

Results
* DFT formation energy: 0.8 eV per formula unit
* energy: -7.527 eV per atom
* M_tot: 0.00 μB/f.u.

The structure in POSCAR format:
```
BC
1.0
-4.9766 1.1077 4.5070
-6.5904 3.4689 -0.0648
5.3390 -4.9000 -1.7193
B C
6 6
Direct
0.1175 0.3403 0.7772
0.5572 0.2743 0.2829
0.9869 0.9720 0.0149
0.6687 0.9957 0.6730
0.5635 0.8541 0.7093
0.9668 0.6671 0.2997
0.4455 0.1554 0.2901
0.0632 0.1081 0.9551
0.1639 0.7910 0.3729
0.5815 0.6274 0.9540
0.4943 0.5143 0.9800
0.1411 0.4501 0.6910
```